# 1
A plane-wave DFT calculation with PBE was carried out for a geometry-optimized LiEuLuHg structure.

Output
Space-group type = No. 216
Crystal system = cubic

abc: 5.304 5.304 5.304
angles: 60.00 60.00 60.00
Fractional positions:
Li 0.000 0.000 0.000
Eu 0.750 0.750 0.750
Lu 0.250 0.250 0.250
Hg 0.500 0.500 0.500



# 2
A plane-wave DFT calculation with PBE was carried out for a geometry-optimized AlPtPb2C structure.

Output
Space-group type = No. 123
Crystal system = tetragonal

abc: 5.276 5.276 3.667
angles: 90.00 90.00 90.00
Fractional positions:
Al 0.000 0.000 0.000
Pt 0.500 0.500 0.000
Pb 0.000 0.500 0.500
Pb 0.500 0.000 0.500
C 0.000 0.000 0.500



# 3
A plane-wave DFT calculation with PBE was carried out for a geometry-optimized ZnCdP2 structure.

Output
Space-group type = No. 35
Crystal system = orthorhombic
Relative energy among the computed polymorphs = 313 meV per atom

abc: 3.030 3.030 9.603
angles: 90.00 90.00 117.65
Fractional positions:
Zn 0.000 0.000 0.000
Cd 0.500 0.500 0.731
P 0.000 0.000 0.412
P 0.500 0.500 0.251



Calculated calculated formation energy in order - -0.19 0.58 0.37 eV per atom